A plane-wave DFT calculation with PBE was carried out for a relaxed structure of Rb2PtPb3.

Cell and atoms, written as extended XYZ:
```
12
Lattice="-8.109 2.154 2.286 1.458 -6.491 -5.252 0.483 -4.677 6.122" Properties=species:S:1:pos:R:3 pbc="T T T"
Rb -5.656 -1.504 1.528
Rb -3.632 -4.317 4.087
Pb -0.358 -3.693 2.080
Rb -0.511 -7.510 1.628
Pb -5.772 -1.879 6.321
Rb -2.535 -4.698 -0.931
Pt -0.464 -3.288 4.825
Pb -0.664 -1.337 -0.963
Pt -7.161 0.765 3.583
Pb -5.504 -7.678 4.119
Pb -1.854 -0.645 2.087
Pb -5.810 -5.322 1.076
```

* ΔE_f: -0.151 eV per atom
* energy: -40.0 eV for the cell shown
* magnetic moment: 0.00 μB per formula unit

A plane-wave DFT calculation with PBE was carried out for a relaxed structure of RbPtPb.

Cell and atoms, written as extended XYZ:
```
6
Lattice="-2.280 -3.579 -1.972 3.589 0.764 -5.537 4.924 -2.411 4.234" Properties=species:S:1:pos:R:3 pbc="T T T"
Pb 2.620 -1.932 -5.076
Pt 4.808 -1.022 -3.705
Rb 3.976 -4.419 -2.131
Pt 1.426 -4.204 0.429
Rb 2.257 -0.807 -1.145
Pb 3.613 -3.294 1.801
```

* ΔE_f: -0.240 eV per atom
* energy: -22.9 eV for the cell shown
* magnetic moment: 0.00 μB per formula unit
* energy above the most stable polymorph in this dataset: 0.0000 eV per atom

A plane-wave DFT calculation with PBE was carried out for a relaxed structure of Rb3Pt2Pb4.

Cell and atoms, written as extended XYZ:
```
18
Lattice="-4.733 -3.053 4.547 4.469 -8.735 2.771 4.538 0.599 9.110" Properties=species:S:1:pos:R:3 pbc="T T T"
Pb 0.137 -2.535 8.866
Rb 0.949 -7.013 8.906
Pt 3.773 -8.934 10.331
Pb 4.137 -8.654 7.562
Pb 2.599 -1.832 4.353
Rb -3.036 -2.574 6.043
Pt -1.884 -6.368 6.615
Pb 1.806 -5.408 13.077
Pb 0.221 -4.925 5.563
Pb 2.468 -5.782 3.351
Rb -0.685 -3.110 2.368
Pb 1.676 -9.358 12.075
Rb 7.311 -8.616 10.386
Rb 3.325 -4.177 7.522
Rb 4.960 -8.080 14.060
Pt 0.502 -2.256 6.097
Pb 4.054 -6.265 10.865
Pt 6.158 -4.822 9.814
```

* ΔE_f: -0.178 eV per atom
* energy: -62.8 eV for the cell shown
* magnetic moment: 0.00 μB per formula unit
* energy above the most stable polymorph in this dataset: 0.0237 eV per atom

A plane-wave DFT calculation with PBE was carried out for a relaxed structure of RbPt2Pb2.

Cell and atoms, written as extended XYZ:
```
5
Lattice="-1.072 -1.140 4.310 5.036 0.603 1.412 -2.169 6.158 -1.349" Properties=species:S:1:pos:R:3 pbc="T T T"
Pt -1.124 2.314 2.772
Rb 0.000 0.000 0.000
Pb 1.562 1.483 3.220
Pt 2.919 3.307 1.601
Pb 0.234 4.138 1.153
```

* ΔE_f: -0.252 eV per atom
* energy: -21.7 eV for the cell shown
* magnetic moment: 0.00 μB per formula unit
* energy above the most stable polymorph in this dataset: 0.0000 eV per atom

A plane-wave DFT calculation with PBE was carried out for a relaxed structure of RbPtPb3.

Cell and atoms, written as extended XYZ:
```
5
Lattice="-0.546 0.043 5.955 -5.817 -1.284 -0.524 1.275 -5.840 0.159" Properties=species:S:1:pos:R:3 pbc="T T T"
Rb 0.000 0.000 0.000
Pb -0.273 0.022 2.977
Pt -2.544 -3.541 2.795
Pb -2.908 -0.642 -0.262
Pb 0.637 -2.920 0.080
```

* ΔE_f: 1.668 eV per atom
* energy: -9.8 eV for the cell shown
* magnetic moment: 0.00 μB per formula unit
* energy above the most stable polymorph in this dataset: 1.8748 eV per atom

A plane-wave DFT calculation with PBE was carried out for a relaxed structure of RbPt2Pb4.

Cell and atoms, written as extended XYZ:
```
7
Lattice="5.216 0.000 0.000 0.000 5.264 0.000 0.000 -2.632 7.220" Properties=species:S:1:pos:R:3 pbc="T T T"
Pt 2.608 0.000 5.885
Pb 2.608 2.632 4.680
Rb 0.000 0.000 0.000
Pt 2.608 2.632 1.334
Pb 0.000 2.632 2.526
Pb 0.000 0.000 4.694
Pb 2.608 0.000 2.539
```

* ΔE_f: -0.093 eV per atom
* energy: -28.5 eV for the cell shown
* magnetic moment: 0.00 μB per formula unit
* energy above the most stable polymorph in this dataset: 0.1113 eV per atom

A plane-wave DFT calculation with PBE was carried out for a relaxed structure of RbPt2Pb.

Cell and atoms, written as extended XYZ:
```
8
Lattice="4.368 0.000 -1.177 0.000 7.831 0.000 -0.351 0.000 7.391" Properties=species:S:1:pos:R:3 pbc="T T T"
Pt 0.907 7.170 3.366
Pt 3.110 3.255 2.847
Rb 0.273 1.958 1.013
Pt 0.907 4.576 3.366
Pb 2.739 5.873 1.472
Pt 3.110 0.660 2.847
Pb 1.278 1.958 4.742
Rb 3.744 5.873 5.201
```

* ΔE_f: -0.191 eV per atom
* energy: -35.0 eV for the cell shown
* magnetic moment: 0.00 μB per formula unit

A plane-wave DFT calculation with PBE was carried out for a relaxed structure of RbPtPb3.

Cell and atoms, written as extended XYZ:
```
5
Lattice="4.885 0.000 1.687 -0.582 4.850 1.692 0.339 0.377 6.931" Properties=species:S:1:pos:R:3 pbc="T T T"
Pb 3.617 2.995 3.049
Pt -0.103 4.304 5.863
Pb 0.560 2.291 3.973
Pb 2.703 4.724 5.663
Rb 2.122 1.304 7.361
```

* ΔE_f: -0.207 eV per atom
* energy: -19.2 eV for the cell shown
* magnetic moment: 0.00 μB per formula unit
* energy above the most stable polymorph in this dataset: 0.0000 eV per atom